An optimized crystal structure of Zr4InTeC2, computed with PBE-GGA.

a b c (Å): 3.4624 3.4624 14.2290
angles (deg): 90.00 90.00 120.00
Space group P-6m2 (No. 187)
Inequivalent atoms, fractional coordinates:
Zr 0.0000 0.0000 0.1538
Zr 0.3333 0.6667 0.3250
In 0.0000 0.0000 0.5000
Te 0.3333 0.6667 0.0000
C 0.6667 0.3333 0.2411

Values from the calculation:
Size of the total moment, μB/cell: 0.00
E, hartree per atom: -0.298

An optimized crystal structure of Y2LuBe, computed with PBE-GGA.

a b c (Å): 7.385 7.385 7.385
angles (deg): 90.00 90.00 90.00
Space group F-43m (No. 216)
Inequivalent atoms, fractional coordinates:
Y 0.000 0.000 0.000
Y 0.250 0.250 0.250
Lu 0.250 0.250 0.750
Be 0.000 0.000 0.500

Values from the calculation:
Size of the total moment, μB/cell: 0.02
E, hartree per atom: -0.181

An optimized crystal structure of NdYIn2Pt4, computed with PBE-GGA.

a b c (Å): 4.6141 4.6141 9.1844
angles (deg): 90.00 90.00 120.00
Space group P-6m2 (No. 187)
Inequivalent atoms, fractional coordinates:
Nd 0.0000 0.0000 0.0000
Y 0.3333 0.6667 0.5000
In 0.6667 0.3333 0.2531
Pt 0.0000 0.0000 0.3448
Pt 0.3333 0.6667 0.1652

Values from the calculation:
Size of the total moment, μB/cell: 0.00
E, hartree per atom: -0.222

An optimized crystal structure of CuPbAuS3, computed with PBE-GGA.

a b c (Å): 3.888 13.005 9.410
angles (deg): 90.00 90.00 90.00
Space group Cmcm (No. 63)
Inequivalent atoms, fractional coordinates:
Cu 0.000 0.031 0.250
Pb 0.000 0.250 0.750
Au 0.000 0.500 0.000
S 0.000 0.139 0.054
S 0.000 0.430 0.250

Values from the calculation:
E, hartree per atom: -0.143

An optimized crystal structure of LiNb2O4, computed with PBE-GGA.

a b c (Å): 8.567 8.567 8.567
angles (deg): 90.00 90.00 90.00
Space group Fd-3m (No. 227, origin choice 2)
Inequivalent atoms, fractional coordinates:
Li 0.125 0.125 0.125
Nb 0.000 0.000 0.500
O 0.002 0.002 0.748

Values from the calculation:
Size of the total moment, μB/cell: 0.02
E, hartree per atom: -0.302

An optimized crystal structure of Li4OsPbO6, computed with PBE-GGA.

a b c (Å): 5.451 9.491 5.146
angles (deg): 90.00 110.34 90.00
Space group C2 (No. 5)
Inequivalent atoms, fractional coordinates:
Li 0.000 0.000 0.000
Li 0.000 0.155 0.500
Li 0.000 0.325 0.000
Li 0.000 0.635 0.000
Os 0.000 0.488 0.500
Pb 0.000 0.820 0.500
O 0.216 0.338 0.741
O 0.224 0.495 0.269
O 0.235 0.634 0.742

Values from the calculation:
Size of the total moment, μB/cell: 4.00
E, hartree per atom: -0.215